#1
Entry from Alexandria via LeMat-Bulk: a relaxed YTa2Ag crystal (PBE).

Results
**M_tot**: 0.00 μB per cell
**Space-group type**: Cm

POSCAR file:
```
YTa2Ag
1.0
-0.784 -5.106 -0.887
-0.291 -4.818 2.042
-5.591 -0.168 0.958
Ta Ag Y
2 1 1
Direct
0.992 0.992 0.947 Ta
0.733 0.733 0.824 Ta
0.264 0.264 0.267 Ag
0.511 0.511 0.462 Y
```


#2
Entry from Alexandria via LeMat-Bulk: a relaxed YTa2Ag crystal (PBE).

Results
**M_tot**: 0.00 μB per cell
**Space-group type**: Imm2

POSCAR file:
```
YTa2Ag
1.0
5.877 0.119 0.097
2.510 5.315 -0.097
-3.439 -3.880 2.770
Ta Ag Y
2 1 1
Direct
0.774 0.274 0.500 Ta
0.996 0.996 0.000 Ta
0.234 0.734 0.500 Ag
0.497 0.497 0.000 Y
```


What should be chosen as the most stable of them? Choose #1.


#1
Entry from Alexandria via LeMat-Bulk: a relaxed RbCd3Pt crystal (PBE).

Results
**M_tot**: 0.00 μB per cell
**Space-group type**: P1

POSCAR file:
```
RbCd3Pt
1.0
7.122 0.041 -0.033
-3.642 6.399 -0.015
0.567 0.794 6.753
Rb Cd Pt
2 6 2
Direct
0.270 0.688 0.007 Rb
0.908 0.036 0.915 Rb
0.241 0.432 0.495 Cd
0.812 0.619 0.343 Cd
0.589 0.452 0.767 Cd
0.434 0.261 0.173 Cd
0.760 0.213 0.422 Cd
0.275 0.881 0.499 Cd
0.025 0.039 0.391 Pt
0.596 0.791 0.541 Pt
```


#2
Entry from Alexandria via LeMat-Bulk: a relaxed RbCd3Pt crystal (PBE).

Results
**M_tot**: 0.00 μB per cell
**Space-group type**: P2_1/m

POSCAR file:
```
RbCd3Pt
1.0
-3.574 -6.288 -1.106
2.513 -0.424 -5.705
6.664 0.670 2.885
Cd Rb Pt
6 2 2
Direct
0.736 0.995 0.064 Cd
0.736 0.505 0.064 Cd
0.264 0.005 0.936 Cd
0.121 0.250 0.505 Cd
0.264 0.495 0.936 Cd
0.879 0.750 0.495 Cd
0.341 0.750 0.453 Rb
0.659 0.250 0.547 Rb
0.928 0.750 0.896 Pt
0.072 0.250 0.104 Pt
```


What should be chosen as the most stable of them? Choose #1.


#1
Entry from Alexandria via LeMat-Bulk: a relaxed KReSb2 crystal (PBE).

Results
**M_tot**: 0.00 μB per cell
**Space-group type**: Pm

POSCAR file:
```
KReSb2
1.0
-2.362 -4.322 1.737
2.214 -1.566 -0.886
3.223 0.853 6.505
Sb K Re
2 1 1
Direct
0.500 0.002 0.209 Sb
0.000 0.992 0.955 Sb
0.000 0.501 0.500 K
0.500 0.005 0.835 Re
```


#2
Entry from Alexandria via LeMat-Bulk: a relaxed KReSb2 crystal (PBE).

Results
**M_tot**: 1.25 μB per cell
**Space-group type**: P4mm

POSCAR file:
```
KReSb2
1.0
-2.585 -1.024 -2.523
1.799 -3.254 -0.522
-4.503 -3.455 6.015
K Re Sb
1 1 2
Direct
0.000 0.000 0.499 K
0.500 0.500 0.878 Re
0.000 0.000 0.922 Sb
0.500 0.500 0.201 Sb
```


What should be chosen as the most stable of them? Choose #2.


#1
Entry from Alexandria via LeMat-Bulk: a relaxed SrOsRu crystal (PBE).

Results
**M_tot**: 0.00 μB per cell
**Space-group type**: P4/nmm

POSCAR file:
```
SrOsRu
1.0
4.588 0.000 0.000
0.000 4.588 0.000
0.000 0.000 6.761
Sr Ru Os
2 2 2
Direct
0.500 0.000 0.152 Sr
0.000 0.500 0.848 Sr
0.000 0.000 0.500 Ru
0.500 0.500 0.500 Ru
0.000 0.500 0.359 Os
0.500 0.000 0.641 Os
```


#2
Entry from Alexandria via LeMat-Bulk: a relaxed SrOsRu crystal (PBE).

Results
**M_tot**: 0.00 μB per cell
**Space-group type**: Imm2

POSCAR file:
```
SrOsRu
1.0
-1.290 -0.017 -6.002
-5.079 -1.129 -3.259
3.149 2.961 4.359
Os Sr Ru
1 1 1
Direct
0.955 0.955 0.000 Os
0.666 0.666 0.000 Sr
0.379 0.379 0.000 Ru
```


What should be chosen as the most stable of them? Choose #1.